(1)
This record from Alexandria describes crystalline HfMgGa3 at its relaxed geometry. The functional is PBE.

abc: 5.1891 5.1891 5.1891
angles: 90.00 90.00 90.00
Atoms (fractional coordinates):
Hf 0.0000 0.0000 0.0000
Mg 0.5000 0.5000 0.5000
Ga 0.0000 0.0000 0.5000
Ga 0.0000 0.5000 0.0000
Ga 0.5000 0.0000 0.0000

## Properties
SG   No. 221
Calculated density   4.9 Mg/m³
DOS(E_F)   0.93 states/eV/atom
Formation enthalpy at 0 K   522 meV/atom
VASP energy   -18.019 eV for the cell shown

---

(2)
This record from Alexandria describes crystalline KBa3Ir at its relaxed geometry. The functional is PBE.

abc: 6.0998 6.0998 6.0998
angles: 90.00 90.00 90.00
Atoms (fractional coordinates):
K 0.0000 0.0000 0.0000
Ba 0.0000 0.0000 0.5000
Ba 0.0000 0.5000 0.0000
Ba 0.5000 0.0000 0.0000
Ir 0.5000 0.5000 0.5000

## Properties
SG   No. 221
Calculated density   4.7 Mg/m³
DOS(E_F)   2.05 states/eV/atom
Formation enthalpy at 0 K   1447 meV/atom
VASP energy   -8.491 eV for the cell shown

---

(3)
This record from Alexandria describes crystalline Y2Cd2In at its relaxed geometry. The functional is PBE.

abc: 8.5156 8.5156 3.8722
angles: 90.00 90.00 90.00
Atoms (fractional coordinates):
Y 0.1570 0.3430 0.0000
Y 0.3430 0.8430 0.0000
Y 0.6570 0.1570 0.0000
Y 0.8430 0.6570 0.0000
Cd 0.1403 0.6403 0.5000
Cd 0.3597 0.1403 0.5000
Cd 0.6403 0.8597 0.5000
Cd 0.8597 0.3597 0.5000
In 0.0000 0.0000 0.0000
In 0.5000 0.5000 0.0000

## Properties
SG   No. 127
Calculated density   6.1 Mg/m³
DOS(E_F)   0.65 states/eV/atom
Formation enthalpy at 0 K   -139 meV/atom
VASP energy   -36.388 eV for the cell shown

---

(4)
This record from Alexandria describes crystalline MnCrAs2 at its relaxed geometry. The functional is PBE.

abc: 2.8350 2.8350 29.8836
angles: 90.00 90.00 120.00
Atoms (fractional coordinates):
Mn 0.0000 0.0000 0.0000
Mn 0.3333 0.6667 0.6667
Mn 0.6667 0.3333 0.3333
Cr 0.0000 0.0000 0.2713
Cr 0.3333 0.6667 0.9379
Cr 0.6667 0.3333 0.6046
As 0.0000 0.0000 0.5391
As 0.0000 0.0000 0.7303
As 0.3333 0.6667 0.2058
As 0.3333 0.6667 0.3970
As 0.6667 0.3333 0.0637
As 0.6667 0.3333 0.8724

## Properties
SG   No. 160
Calculated density   6.1 Mg/m³
DOS(E_F)   0.62 states/eV/atom
Formation enthalpy at 0 K   140 meV/atom
VASP energy   -82.598 eV for the cell shown

---

(5)
This record from Alexandria describes crystalline KBa2Nb at its relaxed geometry. The functional is PBE.

abc: 8.9744 8.9744 8.9744
angles: 90.00 90.00 90.00
Atoms (fractional coordinates):
K 0.0000 0.0000 0.0000
K 0.0000 0.5000 0.5000
K 0.5000 0.0000 0.5000
K 0.5000 0.5000 0.0000
Ba 0.2500 0.2500 0.2500
Ba 0.2500 0.2500 0.7500
Ba 0.2500 0.7500 0.2500
Ba 0.2500 0.7500 0.7500
Ba 0.7500 0.2500 0.2500
Ba 0.7500 0.2500 0.7500
Ba 0.7500 0.7500 0.2500
Ba 0.7500 0.7500 0.7500
Nb 0.0000 0.0000 0.5000
Nb 0.0000 0.5000 0.0000
Nb 0.5000 0.0000 0.0000
Nb 0.5000 0.5000 0.5000

## Properties
SG   No. 225
Calculated density   3.7 Mg/m³
DOS(E_F)   1.35 states/eV/atom
Formation enthalpy at 0 K   859 meV/atom
VASP energy   -46.305 eV for the cell shown

---

(6)
This record from Alexandria describes crystalline PmDy2Ga at its relaxed geometry. The functional is PBE.

abc: 4.2734 12.0647 9.0309
angles: 90.00 90.00 90.00
Atoms (fractional coordinates):
Pm 0.0000 0.0594 0.2500
Pm 0.0000 0.9406 0.7500
Pm 0.5000 0.4406 0.7500
Pm 0.5000 0.5594 0.2500
Dy 0.0000 0.3550 0.0558
Dy 0.0000 0.3550 0.4442
Dy 0.0000 0.6450 0.5558
Dy 0.0000 0.6450 0.9442
Dy 0.5000 0.1450 0.5558
Dy 0.5000 0.1450 0.9442
Dy 0.5000 0.8550 0.0558
Dy 0.5000 0.8550 0.4442
Ga 0.0000 0.2513 0.7500
Ga 0.0000 0.7487 0.2500
Ga 0.5000 0.2487 0.2500
Ga 0.5000 0.7513 0.7500

## Properties
SG   No. 63
Calculated density   7.7 Mg/m³
DOS(E_F)   1.33 states/eV/atom
Formation enthalpy at 0 K   -246 meV/atom
VASP energy   -71.863 eV for the cell shown

---

(7)
This record from Alexandria describes crystalline ScVRuAu2 at its relaxed geometry. The functional is PBE.

abc: 4.8112 4.8112 4.5698
angles: 90.00 90.00 90.00
Atoms (fractional coordinates):
Sc 0.0000 0.0000 0.0000
V 0.0000 0.0000 0.5000
Ru 0.5000 0.5000 0.0000
Au 0.0000 0.5000 0.5000
Au 0.5000 0.0000 0.5000

## Properties
SG   No. 123
Calculated density   9.3 Mg/m³
DOS(E_F)   1.01 states/eV/atom
Formation enthalpy at 0 K   1112 meV/atom
VASP energy   -25.723 eV for the cell shown

---

(8)
This record from Alexandria describes crystalline La2Sn3SbPd4 at its relaxed geometry. The functional is PBE.

abc: 4.6739 4.6739 10.6375
angles: 90.00 90.00 90.00
Atoms (fractional coordinates):
La 0.0000 0.5000 0.2424
La 0.5000 0.0000 0.7576
Sn 0.0000 0.5000 0.8744
Sn 0.5000 0.0000 0.1256
Sn 0.5000 0.5000 0.5000
Sb 0.0000 0.0000 0.5000
Pd 0.0000 0.0000 0.0000
Pd 0.0000 0.5000 0.6274
Pd 0.5000 0.0000 0.3726
Pd 0.5000 0.5000 0.0000

## Properties
Raw formation energy   -0.82 eV per atom
SG   No. 115
Calculated density   8.4 Mg/m³
DOS(E_F)   0.66 states/eV/atom
VASP energy   -54.985 eV for the cell shown

---

(9)
This record from Alexandria describes crystalline HfAlAs2Br at its relaxed geometry. The functional is PBE.

abc: 5.1592 5.1592 5.3909
angles: 90.00 90.00 90.00
Atoms (fractional coordinates):
Hf 0.0000 0.0000 0.0000
Al 0.5000 0.5000 0.5000
As 0.0000 0.5000 0.0000
As 0.5000 0.0000 0.0000
Br 0.0000 0.0000 0.5000

## Properties
Raw formation energy   0.03 eV per atom
SG   No. 123
Calculated density   5.0 Mg/m³
DOS(E_F)   0.79 states/eV/atom
VASP energy   -24.527 eV for the cell shown